[1]
First-principles (GGA-PBE) data for a geometry-optimized TlCdMo2 structure, as listed in Alexandria.

Values from the calculation:
- spin magnetization (Bohr magnetons per cell) = 0.00
- DFT formation energy (meV/atom) = 737
- space group = R-3m (166)
- excess energy over the best structure of this formula in the dataset (meV per atom) = 327
- E (hartree per atom) = -0.2021

Cell: 9.842 9.842 9.842 Å, 17.47 17.47 17.47°
Fractional positions:
Cd 0.750 0.750 0.750
Tl 0.250 0.250 0.250
Mo 0.000 0.000 0.000
Mo 0.500 0.500 0.500



[2]
First-principles (GGA-PBE) data for a geometry-optimized TlCdMo2 structure, as listed in Alexandria.

Values from the calculation:
- spin magnetization (Bohr magnetons per cell) = 0.00
- DFT formation energy (meV/atom) = 690
- space group = I-4m2 (119)
- excess energy over the best structure of this formula in the dataset (meV per atom) = 280
- E (hartree per atom) = -0.2038

Cell: 5.099 5.099 5.099 Å, 131.18 131.18 71.52°
Fractional positions:
Mo 0.250 0.750 0.500
Mo 0.000 0.000 0.000
Cd 0.750 0.250 0.500
Tl 0.500 0.500 0.000



[3]
First-principles (GGA-PBE) data for a geometry-optimized TlCd2Mo structure, as listed in Alexandria.

Values from the calculation:
- spin magnetization (Bohr magnetons per cell) = 3.19
- DFT formation energy (meV/atom) = 742
- space group = Fm-3m (225)
- excess energy over the best structure of this formula in the dataset (meV per atom) = 338
- E (hartree per atom) = -0.1108

Cell: 5.024 5.024 5.024 Å, 60.00 60.00 60.00°
Last column: magnetic moment on the atom in μB.
Fractional positions:
Cd 0.750 0.750 0.750  -0.01
Cd 0.250 0.250 0.250  -0.01
Mo 0.000 0.000 0.000  2.74
Tl 0.500 0.500 0.500  0.02



[4]
First-principles (GGA-PBE) data for a geometry-optimized Tl2CdMo structure, as listed in Alexandria.

Values from the calculation:
- spin magnetization (Bohr magnetons per cell) = 0.00
- DFT formation energy (meV/atom) = 544
- space group = R3m (160)
- excess energy over the best structure of this formula in the dataset (meV per atom) = 32
- E (hartree per atom) = -0.1314

Cell: 10.861 10.861 10.861 Å, 16.66 16.66 16.66°
Fractional positions:
Tl 0.010 0.010 0.010
Tl 0.248 0.248 0.248
Mo 0.752 0.752 0.752
Cd 0.490 0.490 0.490



[5]
First-principles (GGA-PBE) data for a geometry-optimized Tl2CdMo structure, as listed in Alexandria.

Values from the calculation:
- spin magnetization (Bohr magnetons per cell) = 0.00
- DFT formation energy (meV/atom) = 512
- space group = Cmm2 (35)
- excess energy over the best structure of this formula in the dataset (meV per atom) = 0
- E (hartree per atom) = -0.1326

Cell: 3.033 3.033 10.136 Å, 90.00 90.00 94.57°
Fractional positions:
Mo 0.500 0.500 0.738
Tl 0.500 0.500 0.262
Tl 0.000 0.000 0.964
Cd 0.000 0.000 0.536



[6]
First-principles (GGA-PBE) data for a geometry-optimized TlCd2Mo structure, as listed in Alexandria.

Values from the calculation:
- spin magnetization (Bohr magnetons per cell) = 0.87
- DFT formation energy (meV/atom) = 575
- space group = I-4m2 (119)
- excess energy over the best structure of this formula in the dataset (meV per atom) = 171
- E (hartree per atom) = -0.1169

Cell: 5.559 5.559 5.559 Å, 135.91 135.91 64.12°
Last column: magnetic moment on the atom in μB.
Fractional positions:
Mo 0.500 0.500 0.000  0.74
Cd 0.000 0.000 0.000  -0.01
Cd 0.250 0.750 0.500  0.01
Tl 0.750 0.250 0.500  0.01



[7]
First-principles (GGA-PBE) data for a geometry-optimized Tl2CdMo structure, as listed in Alexandria.

Values from the calculation:
- spin magnetization (Bohr magnetons per cell) = 0.00
- DFT formation energy (meV/atom) = 615
- space group = Imm2 (44)
- excess energy over the best structure of this formula in the dataset (meV per atom) = 102
- E (hartree per atom) = -0.1288

Cell: 5.741 5.741 5.741 Å, 137.66 137.34 61.67°
Fractional positions:
Mo 0.249 0.749 0.500
Tl 0.750 0.250 0.500
Tl 0.001 0.001 0.000
Cd 0.499 0.499 0.000



[8]
First-principles (GGA-PBE) data for a geometry-optimized TlCd2Mo structure, as listed in Alexandria.

Values from the calculation:
- spin magnetization (Bohr magnetons per cell) = 0.00
- DFT formation energy (meV/atom) = 489
- space group = Cmm2 (35)
- excess energy over the best structure of this formula in the dataset (meV per atom) = 85
- E (hartree per atom) = -0.1201

Cell: 2.968 2.968 9.903 Å, 90.00 90.00 101.07°
Fractional positions:
Mo 0.000 0.000 0.488
Cd 0.500 0.500 0.268
Cd 0.000 0.000 0.016
Tl 0.500 0.500 0.727



[9]
First-principles (GGA-PBE) data for a geometry-optimized TlCdMo4 structure, as listed in Alexandria.

Values from the calculation:
- spin magnetization (Bohr magnetons per cell) = 0.00
- DFT formation energy (meV/atom) = 629
- space group = F-43m (216)
- E (hartree per atom) = -0.2623

Cell: 5.389 5.389 5.389 Å, 60.00 60.00 60.00°
Fractional positions:
Mo 0.374 0.374 0.374
Mo 0.374 0.878 0.374
Mo 0.878 0.374 0.374
Mo 0.374 0.374 0.878
Cd 0.000 0.000 0.000
Tl 0.750 0.750 0.750



[10]
First-principles (GGA-PBE) data for a geometry-optimized Tl2CdMo structure, as listed in Alexandria.

Values from the calculation:
- spin magnetization (Bohr magnetons per cell) = 0.00
- DFT formation energy (meV/atom) = 631
- space group = P4/mmm (123)
- excess energy over the best structure of this formula in the dataset (meV per atom) = 119
- E (hartree per atom) = -0.1282

Cell: 3.043 3.043 9.929 Å, 90.00 90.00 90.00°
Fractional positions:
Cd 0.500 0.500 0.250
Tl 0.000 0.000 0.528
Tl 0.000 0.000 0.972
Mo 0.500 0.500 0.750



[11]
First-principles (GGA-PBE) data for a geometry-optimized TlCdMo2 structure, as listed in Alexandria.

Values from the calculation:
- spin magnetization (Bohr magnetons per cell) = 0.00
- DFT formation energy (meV/atom) = 681
- space group = Immm (71)
- excess energy over the best structure of this formula in the dataset (meV per atom) = 271
- E (hartree per atom) = -0.2041

Cell: 5.531 5.531 5.531 Å, 143.69 131.49 62.08°
Fractional positions:
Mo 0.998 0.998 0.000
Mo 0.502 0.502 0.000
Cd 0.250 0.750 0.500
Tl 0.750 0.250 0.500



[12]
First-principles (GGA-PBE) data for a geometry-optimized TlCdMo2 structure, as listed in Alexandria.

Values from the calculation:
- spin magnetization (Bohr magnetons per cell) = 0.00
- DFT formation energy (meV/atom) = 661
- space group = Cm (8)
- excess energy over the best structure of this formula in the dataset (meV per atom) = 251
- E (hartree per atom) = -0.2049

Cell: 5.091 5.091 5.331 Å, 85.75 85.75 32.93°
Fractional positions:
Mo 0.995 0.995 0.978
Mo 0.755 0.755 0.776
Tl 0.499 0.499 0.494
Cd 0.251 0.251 0.252



[13]
First-principles (GGA-PBE) data for a geometry-optimized Tl2CdMo structure, as listed in Alexandria.

Values from the calculation:
- spin magnetization (Bohr magnetons per cell) = 0.00
- DFT formation energy (meV/atom) = 626
- space group = P2/m (10)
- excess energy over the best structure of this formula in the dataset (meV per atom) = 114
- E (hartree per atom) = -0.1284

Cell: 3.134 5.678 6.063 Å, 53.40 90.00 90.00°
Fractional positions:
Tl 0.500 0.500 0.000
Tl 0.000 0.000 0.000
Cd 0.500 0.500 0.500
Mo 0.000 0.000 0.500



[14]
First-principles (GGA-PBE) data for a geometry-optimized TlCdMo2 structure, as listed in Alexandria.

Values from the calculation:
- spin magnetization (Bohr magnetons per cell) = 0.00
- DFT formation energy (meV/atom) = 756
- space group = P4/mmm (123)
- excess energy over the best structure of this formula in the dataset (meV per atom) = 346
- E (hartree per atom) = -0.2014

Cell: 2.840 2.840 9.253 Å, 90.00 90.00 90.00°
Fractional positions:
Mo 0.000 0.000 0.995
Mo 0.000 0.000 0.505
Cd 0.500 0.500 0.750
Tl 0.500 0.500 0.250



[15]
First-principles (GGA-PBE) data for a geometry-optimized TlCd2Mo structure, as listed in Alexandria.

Values from the calculation:
- spin magnetization (Bohr magnetons per cell) = 0.00
- DFT formation energy (meV/atom) = 533
- space group = P2/m (10)
- excess energy over the best structure of this formula in the dataset (meV per atom) = 129
- E (hartree per atom) = -0.1185

Cell: 5.440 2.907 5.258 Å, 88.01 90.00 90.00°
Fractional positions:
Tl 0.500 0.750 0.750
Mo 0.500 0.250 0.250
Cd 0.000 0.992 0.011
Cd 0.000 0.508 0.489